No. 1
Computed, not measured: a geometry-optimized FeAs2Os structure at the PBEsol level of DFT.

Output
calculated formation energy: 19.5 kJ/mol of atoms
space group: C2/m
V: 13.6 Å³ per atom

a = 4.1056 Å, b = 4.1056 Å, c = 4.9829 Å
α = 101.53°, β = 101.53°, γ = 41.65°
Atoms (fractional coordinates):
1 Fe 0.0000 0.0000 0.0000
2 As 0.2522 0.2522 0.7609
3 As 0.7478 0.7478 0.2391
4 Os 0.5000 0.5000 0.5000



No. 2
Computed, not measured: a geometry-optimized RbNaZn2Pt structure at the PBEsol level of DFT.

Output
calculated formation energy: -10.0 kJ/mol of atoms
space group: P4/mmm
V: 26.1 Å³ per atom

a = 4.8942 Å, b = 4.8942 Å, c = 5.4403 Å
α = 90.00°, β = 90.00°, γ = 90.00°
Atoms (fractional coordinates):
1 Rb 0.0000 0.0000 0.0000
2 Na 0.5000 0.5000 0.0000
3 Zn 0.0000 0.5000 0.5000
4 Zn 0.5000 0.0000 0.5000
5 Pt 0.5000 0.5000 0.5000



No. 3
Computed, not measured: a geometry-optimized RbC3Br structure at the PBEsol level of DFT.

Output
formation energy without anion corrections: 3.2752 eV/atom
space group: Pm-3m
V: 16.3 Å³ per atom

a = 4.3323 Å, b = 4.3323 Å, c = 4.3323 Å
α = 90.00°, β = 90.00°, γ = 90.00°
Atoms (fractional coordinates):
1 Rb 0.0000 0.0000 0.0000
2 C 0.0000 0.5000 0.5000
3 C 0.5000 0.0000 0.5000
4 C 0.5000 0.5000 0.0000
5 Br 0.5000 0.5000 0.5000



No. 4
Computed, not measured: a geometry-optimized CuB2Pb2O6 structure at the PBEsol level of DFT.

Output
formation energy without anion corrections: -1.6440 eV/atom
space group: P2_1/c
V: 12.4 Å³ per atom

a = 5.6699 Å, b = 8.7418 Å, c = 6.0637 Å
α = 90.00°, β = 114.92°, γ = 90.00°
Atoms (fractional coordinates):
1 Cu 0.0000 0.0000 0.0000
2 Cu 0.0000 0.5000 0.5000
3 B 0.2356 0.2491 0.3399
4 B 0.2356 0.2509 0.8399
5 B 0.7644 0.7491 0.1601
6 B 0.7644 0.7509 0.6601
7 Pb 0.3060 0.6046 0.1657
8 Pb 0.3060 0.8954 0.6657
9 Pb 0.6940 0.1046 0.3343
10 Pb 0.6940 0.3954 0.8343
11 O 0.0081 0.1821 0.8182
12 O 0.0081 0.3179 0.3182
13 O 0.2415 0.0923 0.2959
14 O 0.2415 0.4077 0.7959
15 O 0.4680 0.1738 0.9035
16 O 0.4680 0.3262 0.4035
17 O 0.5320 0.6738 0.5965
18 O 0.5320 0.8262 0.0965
19 O 0.7585 0.5923 0.2041
20 O 0.7585 0.9077 0.7041
21 O 0.9919 0.6821 0.6818
22 O 0.9919 0.8179 0.1818



No. 5
Computed, not measured: a geometry-optimized TaReW2 structure at the PBEsol level of DFT.

Output
E above lowest polymorph: 0.00 kcal/mol of atoms
calculated formation energy: -13.8 kJ/mol of atoms
space group: Pmmm
V: 15.8 Å³ per atom

a = 3.1513 Å, b = 4.4628 Å, c = 4.4884 Å
α = 90.00°, β = 90.00°, γ = 90.00°
Atoms (fractional coordinates):
1 Ta 0.0000 0.0000 0.0000
2 Re 0.5000 0.5000 0.0000
3 W 0.0000 0.5000 0.5000
4 W 0.5000 0.0000 0.5000



No. 6
Computed, not measured: a geometry-optimized CaAl2Cd structure at the PBEsol level of DFT.

Output
calculated formation energy: 13.1 kJ/mol of atoms
space group: I-42d
V: 25.9 Å³ per atom

a = 10.0921 Å, b = 10.0921 Å, c = 10.0921 Å
α = 153.27°, β = 153.27°, γ = 38.16°
Atoms (fractional coordinates):
1 Ca 0.0000 0.0000 0.0000
2 Ca 0.7500 0.2500 0.5000
3 Al 0.2514 0.6250 0.1264
4 Al 0.3750 0.5014 0.6264
5 Al 0.4986 0.1250 0.8736
6 Al 0.8750 0.7486 0.3736
7 Cd 0.2500 0.7500 0.5000
8 Cd 0.5000 0.5000 0.0000



What did we get for energy? Answer: -7.646 -2.614 -3.090 -6.904 -13.518 -2.743 eV per atom, in the order shown.